# 1
First-principles (PBE-GGA) data for an optimized crystal structure of Tb3DyN, as listed in Alexandria.

## Properties
ΔE_f (raw), eV/atom: -0.514
M_tot, μB per atom: 0.0001
Raw total energy, eV for the cell shown: -29.388
V, Å³ per atom: 24.75

Unit cell a=4.9834 b=4.9834 c=4.9834 alpha=90.00 beta=90.00 gamma=90.00
Space group Pm-3m (No. 221)
Symmetry-distinct sites (fractional):
Tb 0.0000 0.0000 0.5000 (multiplicity 3)
Dy 0.5000 0.5000 0.5000 (multiplicity 1)
N 0.0000 0.0000 0.0000 (multiplicity 1)

=====

# 2
First-principles (PBE-GGA) data for an optimized crystal structure of TbDy2N2, as listed in Alexandria.

## Properties
ΔE_f (raw), eV/atom: -1.308
M_tot, μB per atom: 0.0000
Raw total energy, eV for the cell shown: -148.110
V, Å³ per atom: 18.39

Unit cell a=11.1490 b=4.9432 c=7.0824 alpha=90.00 beta=109.58 gamma=90.00
Space group C2/m (No. 12)
Symmetry-distinct sites (fractional):
Tb 0.1575 0.0000 0.0931 (multiplicity 4)
Dy 0.0065 0.5000 0.7339 (multiplicity 4)
Dy 0.1630 0.0000 0.5730 (multiplicity 4)
N 0.0016 0.0000 0.2514 (multiplicity 4)
N 0.1652 0.5000 0.5820 (multiplicity 4)

=====

# 3
First-principles (PBE-GGA) data for an optimized crystal structure of Tb3Dy2N4, as listed in Alexandria.

## Properties
ΔE_f (raw), eV/atom: -1.478
M_tot, μB per atom: 0.0348
Raw total energy, eV for the cell shown: -139.399
V, Å³ per atom: 17.13

Unit cell a=6.0639 b=3.5011 c=14.5253 alpha=90.00 beta=90.08 gamma=90.00
Space group C2/m (No. 12)
Symmetry-distinct sites (fractional):
Tb 0.0000 0.0000 0.0000 (multiplicity 2)
Tb 0.1655 0.5000 0.6172 (multiplicity 4)
Dy 0.1672 0.5000 0.1903 (multiplicity 4)
N 0.0009 0.0000 0.2994 (multiplicity 4)
N 0.1664 0.5000 0.8995 (multiplicity 4)